# CoAgSn4

A geometry-optimized CoAgSn4 structure (GGA-PBE, Alexandria).

a = 5.680 Å, b = 7.860 Å, c = 7.623 Å
α = 115.55°, β = 104.83°, γ = 103.08°
Sites, in units of the cell vectors:
Co (0.252, 0.002, 0.004)
Co (0.748, 0.998, 0.996)
Ag (0.393, 0.643, 0.286)
Ag (0.607, 0.357, 0.714)
Sn (0.032, 0.221, 0.866)
Sn (0.803, 0.712, 0.665)
Sn (0.334, 0.645, 0.866)
Sn (0.362, 0.953, 0.665)
Sn (0.638, 0.047, 0.335)
Sn (0.666, 0.355, 0.134)
Sn (0.197, 0.288, 0.335)
Sn (0.968, 0.779, 0.134)

Formation energy from the elements (eV/atom): 0.054
Energy relative to the lowest polymorph listed for this composition (eV/atom): 0.000
Symmetry: C2/c, No. 15
Volume (Å³ per cell): 273.8


# Ce8Os2Pb

A geometry-optimized Ce8Os2Pb structure (GGA-PBE, Alexandria).

a = 5.411 Å, b = 8.451 Å, c = 7.869 Å
α = 57.52°, β = 82.87°, γ = 76.63°
Sites, in units of the cell vectors:
Ce (0.943, 0.091, 0.222)
Ce (0.943, 0.313, 0.778)
Ce (0.307, 0.423, 0.000)
Ce (0.500, 0.745, 0.511)
Ce (0.500, 0.255, 0.489)
Ce (0.693, 0.577, 0.000)
Ce (0.057, 0.687, 0.222)
Ce (0.057, 0.909, 0.778)
Os (0.000, 0.293, 0.415)
Os (0.000, 0.707, 0.585)
Pb (0.500, 0.000, 0.000)

Formation energy from the elements (eV/atom): -0.137
Energy relative to the lowest polymorph listed for this composition (eV/atom): 0.015
Symmetry: C2/m, No. 12
Volume (Å³ per cell): 295.3


# Zr2BiPt2

A geometry-optimized Zr2BiPt2 structure (GGA-PBE, Alexandria).

a = 3.843 Å, b = 3.843 Å, c = 7.990 Å
α = 76.08°, β = 76.08°, γ = 90.00°
Sites, in units of the cell vectors:
Zr (0.382, 0.382, 0.236)
Zr (0.618, 0.618, 0.764)
Bi (0.000, 0.000, 0.000)
Pt (0.750, 0.250, 0.500)
Pt (0.250, 0.750, 0.500)

Formation energy from the elements (eV/atom): -0.569
Energy relative to the lowest polymorph listed for this composition (eV/atom): 0.225
Symmetry: I4/mmm, No. 139
Volume (Å³ per cell): 111.0


# ScIBr3

A geometry-optimized ScIBr3 structure (GGA-PBE, Alexandria).

a = 5.887 Å, b = 5.887 Å, c = 5.887 Å
α = 90.00°, β = 90.00°, γ = 90.00°
Sites, in units of the cell vectors:
I (0.000, 0.000, 0.000)
Sc (0.500, 0.500, 0.500)
Br (0.000, 0.500, 0.000)
Br (0.000, 0.000, 0.500)
Br (0.500, 0.000, 0.000)

Energy relative to the lowest polymorph listed for this composition (eV/atom): 1.687
Symmetry: Pm-3m, No. 221
ΔE_f (raw) (meV/atom): 350
Volume (Å³ per cell): 204.1